1.
DFT (GGA-PBE) results for crystalline LaRuPt2 at its relaxed geometry.

Electronic total energy in eV per atom: -6.7634
E_form in eV/atom: -0.192
Symmetry: Pmm2

a = 3.0516 Å, b = 3.9570 Å, c = 6.3297 Å
α = 90.00°, β = 90.00°, γ = 90.00°
Atoms (fractional coordinates):
1 La 0.0000 0.0000 0.0000
2 Ru 0.5000 0.5000 0.6906
3 Pt 0.0000 0.0000 0.5297
4 Pt 0.5000 0.5000 0.2715


2.
DFT (GGA-PBE) results for crystalline LiTl2Os at its relaxed geometry.

Offset from the most stable computed form in eV/atom: 0.166
Electronic total energy in eV per atom: -3.8587
E_form in eV/atom: 0.610
Symmetry: P4mm

a = 3.0252 Å, b = 3.0252 Å, c = 8.8963 Å
α = 90.00°, β = 90.00°, γ = 90.00°
Atoms (fractional coordinates):
1 Li 0.0000 0.0000 0.0000
2 Tl 0.0000 0.0000 0.4127
3 Tl 0.5000 0.5000 0.7552
4 Os 0.5000 0.5000 0.1772


3.
DFT (GGA-PBE) results for crystalline Y3H2Se3 at its relaxed geometry.

Electronic total energy in eV per atom: -5.9723
Symmetry: Cmcm

a = 6.3588 Å, b = 6.3588 Å, c = 13.7706 Å
α = 90.00°, β = 90.00°, γ = 145.71°
Atoms (fractional coordinates):
1 Y 0.1313 0.8687 0.5468
2 Y 0.1313 0.8687 0.9532
3 Y 0.1500 0.8500 0.2500
4 Y 0.8500 0.1500 0.7500
5 Y 0.8687 0.1313 0.0468
6 Y 0.8687 0.1313 0.4532
7 H 0.2659 0.7341 0.0624
8 H 0.2659 0.7341 0.4376
9 H 0.7341 0.2659 0.5624
10 H 0.7341 0.2659 0.9376
11 Se 0.1767 0.8233 0.7500
12 Se 0.4483 0.5517 0.6103
13 Se 0.4483 0.5517 0.8897
14 Se 0.5517 0.4483 0.1103
15 Se 0.5517 0.4483 0.3897
16 Se 0.8233 0.1767 0.2500


4.
DFT (GGA-PBE) results for crystalline Th4GaBi3 at its relaxed geometry.

Electronic total energy in eV per atom: -6.0799
E_form in eV/atom: -0.536
Symmetry: P2/c

a = 7.9109 Å, b = 9.0894 Å, c = 7.8074 Å
α = 90.00°, β = 109.46°, γ = 90.00°
Atoms (fractional coordinates):
1 Th 0.2263 0.1140 0.0009
2 Th 0.2263 0.8860 0.5009
3 Th 0.2379 0.3579 0.4858
4 Th 0.2379 0.6421 0.9858
5 Th 0.7621 0.3579 0.0142
6 Th 0.7621 0.6421 0.5142
7 Th 0.7737 0.1140 0.4991
8 Th 0.7737 0.8860 0.9991
9 Ga 0.0000 0.1241 0.2500
10 Ga 0.0000 0.8759 0.7500
11 Bi 0.0000 0.3780 0.7500
12 Bi 0.0000 0.6220 0.2500
13 Bi 0.5000 0.1238 0.7500
14 Bi 0.5000 0.3789 0.2500
15 Bi 0.5000 0.6211 0.7500
16 Bi 0.5000 0.8762 0.2500


5.
DFT (GGA-PBE) results for crystalline CeErTh2 at its relaxed geometry.

Offset from the most stable computed form in eV/atom: 0.004
Electronic total energy in eV per atom: -6.3023
E_form in eV/atom: 0.032
Symmetry: Pmmn

a = 3.5458 Å, b = 11.3060 Å, c = 6.1541 Å
α = 90.00°, β = 90.00°, γ = 90.00°
Atoms (fractional coordinates):
1 Ce 0.2500 0.2500 0.0861
2 Ce 0.7500 0.7500 0.9139
3 Er 0.2500 0.7500 0.4159
4 Er 0.7500 0.2500 0.5841
5 Th 0.2500 0.9999 0.7491
6 Th 0.2500 0.5001 0.7491
7 Th 0.7500 0.0001 0.2509
8 Th 0.7500 0.4999 0.2509


6.
DFT (GGA-PBE) results for crystalline Sr2CeOsN4 at its relaxed geometry.

Electronic total energy in eV per atom: -7.1368
Symmetry: Cmcm
Formation energy from raw total energies in eV per atom: -0.41

a = 6.1906 Å, b = 6.1906 Å, c = 12.7901 Å
α = 90.00°, β = 90.00°, γ = 146.92°
Atoms (fractional coordinates):
1 Sr 0.1337 0.8663 0.5369
2 Sr 0.1337 0.8663 0.9631
3 Sr 0.8663 0.1337 0.0369
4 Sr 0.8663 0.1337 0.4631
5 Ce 0.3800 0.6200 0.7500
6 Ce 0.6200 0.3800 0.2500
7 Os 0.3453 0.6547 0.2500
8 Os 0.6547 0.3453 0.7500
9 N 0.0817 0.9183 0.7500
10 N 0.2205 0.7795 0.1501
11 N 0.2205 0.7795 0.3499
12 N 0.5000 0.5000 0.0000
13 N 0.5000 0.5000 0.5000
14 N 0.7795 0.2205 0.6501
15 N 0.7795 0.2205 0.8499
16 N 0.9183 0.0817 0.2500


7.
DFT (GGA-PBE) results for crystalline ReHgSb4 at its relaxed geometry.

Electronic total energy in eV per atom: -3.7491
Symmetry: F-43m
Formation energy from raw total energies in eV per atom: 1.12

a = 6.1848 Å, b = 6.1848 Å, c = 6.1848 Å
α = 60.00°, β = 60.00°, γ = 60.00°
Atoms (fractional coordinates):
1 Re 0.0000 0.0000 0.0000
2 Hg 0.2500 0.2500 0.2500
3 Sb 0.1261 0.6246 0.6246
4 Sb 0.6246 0.1261 0.6246
5 Sb 0.6246 0.6246 0.1261
6 Sb 0.6246 0.6246 0.6246


8.
DFT (GGA-PBE) results for crystalline YPtW at its relaxed geometry.

Electronic total energy in eV per atom: -7.4114
E_form in eV/atom: 1.075
Symmetry: F-43m

a = 6.5431 Å, b = 6.5431 Å, c = 6.5431 Å
α = 90.00°, β = 90.00°, γ = 90.00°
Atoms (fractional coordinates):
1 Y 0.0000 0.0000 0.0000
2 Y 0.0000 0.5000 0.5000
3 Y 0.5000 0.0000 0.5000
4 Y 0.5000 0.5000 0.0000
5 Pt 0.2500 0.2500 0.2500
6 Pt 0.2500 0.7500 0.7500
7 Pt 0.7500 0.2500 0.7500
8 Pt 0.7500 0.7500 0.2500
9 W 0.2500 0.2500 0.7500
10 W 0.2500 0.7500 0.2500
11 W 0.7500 0.2500 0.2500
12 W 0.7500 0.7500 0.7500